1.
# AgBrO4 (PBEsol, optimized geometry)
data_AgBrO4
_chemical_formula_sum 'Ag4 Br4 O16'
_symmetry_space_group_name_H-M 'P 1 21/c 1'
_symmetry_Int_Tables_number 14
_symmetry_space_group_name_Hall '-P 2ybc'
_cell_length_a 5.985
_cell_length_b 8.544
_cell_length_c 8.725
_cell_angle_alpha 90.00
_cell_angle_beta 126.02
_cell_angle_gamma 90.00
loop_
_atom_site_label
_atom_site_fract_x
_atom_site_fract_y
_atom_site_fract_z
Ag1 0.155 0.065 0.384
Br1 0.357 0.690 0.627
O1 0.174 0.642 0.071
O2 0.199 0.570 0.445
O3 0.327 0.233 0.804
O4 0.381 0.611 0.813
# Volume: 15.0 Å³/atom
# Energy relative to the elements, uncorrected: 283 meV/atom

***

2.
# AgBrO3 (PBEsol, optimized geometry)
data_AgBrO3
_chemical_formula_sum 'Ag3 Br3 O9'
_symmetry_space_group_name_H-M 'R 3 m'
_symmetry_Int_Tables_number 160
_symmetry_space_group_name_Hall 'R 3 -2"'
_cell_length_a 5.6197
_cell_length_b 5.6197
_cell_length_c 8.4281
_cell_angle_alpha 90.00
_cell_angle_beta 90.00
_cell_angle_gamma 120.00
loop_
_atom_site_label
_atom_site_fract_x
_atom_site_fract_y
_atom_site_fract_z
Ag1 0.0000 0.0000 0.0000
Br1 0.0000 0.0000 0.5466
O1 0.0178 0.5089 0.1296
# Volume: 15.4 Å³/atom
# Energy relative to the elements, uncorrected: 179 meV/atom

***

3.
# AgBrO3 (PBEsol, optimized geometry)
data_AgBrO3
_chemical_formula_sum 'Ag1 Br1 O3'
_symmetry_space_group_name_H-M 'P m -3 m'
_symmetry_Int_Tables_number 221
_symmetry_space_group_name_Hall '-P 4 2 3'
_cell_length_a 3.994
_cell_length_b 3.994
_cell_length_c 3.994
_cell_angle_alpha 90.00
_cell_angle_beta 90.00
_cell_angle_gamma 90.00
loop_
_atom_site_label
_atom_site_fract_x
_atom_site_fract_y
_atom_site_fract_z
Ag1 0.000 0.000 0.000
Br1 0.500 0.500 0.500
O1 0.000 0.000 0.500
# Volume: 12.7 Å³/atom
# Energy relative to the elements, uncorrected: 782 meV/atom

***

4.
# AgPbBrO (PBEsol, optimized geometry)
data_AgPbBrO
_chemical_formula_sum 'Ag2 Pb2 Br2 O2'
_symmetry_space_group_name_H-M 'P 4/n m m'
_symmetry_Int_Tables_number 129
_cell_length_a 3.909
_cell_length_b 3.909
_cell_length_c 13.897
_cell_angle_alpha 90.00
_cell_angle_beta 90.00
_cell_angle_gamma 90.00
loop_
_symmetry_equiv_pos_as_xyz
'x,y,z'
'-x,-y,-z'
'-y+1/2,x,z'
'y+1/2,-x,-z'
'-x+1/2,-y+1/2,z'
'x+1/2,y+1/2,-z'
'y,-x+1/2,z'
'-y,x+1/2,-z'
'x+1/2,-y,-z'
'-x+1/2,y,z'
'-y,-x,-z'
'y,x,z'
'-x,y+1/2,-z'
'x,-y+1/2,z'
'y+1/2,x+1/2,-z'
'-y+1/2,-x+1/2,z'
loop_
_atom_site_label
_atom_site_fract_x
_atom_site_fract_y
_atom_site_fract_z
Ag1 0.250 0.250 0.074
Pb1 0.250 0.250 0.588
Br1 0.250 0.250 0.878
O1 0.250 0.750 0.500
# Volume: 26.5 Å³/atom
# Energy relative to the elements, uncorrected: -628 meV/atom

***

5.
# AgOsBr2 (PBEsol, optimized geometry)
data_AgOsBr2
_chemical_formula_sum 'Ag3 Os3 Br6'
_symmetry_space_group_name_H-M 'R 3 m'
_symmetry_Int_Tables_number 160
_symmetry_space_group_name_Hall 'R 3 -2"'
_cell_length_a 3.7296
_cell_length_b 3.7296
_cell_length_c 21.4968
_cell_angle_alpha 90.00
_cell_angle_beta 90.00
_cell_angle_gamma 120.00
loop_
_atom_site_label
_atom_site_fract_x
_atom_site_fract_y
_atom_site_fract_z
Ag1 0.0000 0.0000 0.0000
Os1 0.0000 0.0000 0.7456
Br1 0.0000 0.0000 0.2595
Br2 0.0000 0.0000 0.4599
# Relative energy among the computed polymorphs: 72 meV per atom
# Volume: 21.6 Å³/atom
# Energy relative to the elements, uncorrected: 544 meV/atom

***

6.
# AgOs2Br (PBEsol, optimized geometry)
data_AgOs2Br
_chemical_formula_sum 'Ag1 Os2 Br1'
_symmetry_space_group_name_H-M 'P 4/m m m'
_symmetry_Int_Tables_number 123
_symmetry_space_group_name_Hall '-P 4 2'
_cell_length_a 2.864
_cell_length_b 2.864
_cell_length_c 7.540
_cell_angle_alpha 90.00
_cell_angle_beta 90.00
_cell_angle_gamma 90.00
loop_
_atom_site_label
_atom_site_fract_x
_atom_site_fract_y
_atom_site_fract_z
Ag1 0.000 0.000 0.000
Os1 0.500 0.500 0.256
Br1 0.000 0.000 0.500
# Volume: 15.5 Å³/atom
# Energy relative to the elements, uncorrected: 1432 meV/atom

***

7.
# AgOsBr2 (PBEsol, optimized geometry)
data_AgOsBr2
_chemical_formula_sum 'Ag2 Os2 Br4'
_symmetry_space_group_name_H-M 'C m m m'
_symmetry_Int_Tables_number 65
_symmetry_space_group_name_Hall '-C 2 2'
_cell_length_a 2.997
_cell_length_b 5.579
_cell_length_c 9.721
_cell_angle_alpha 90.00
_cell_angle_beta 90.00
_cell_angle_gamma 90.00
loop_
_atom_site_label
_atom_site_fract_x
_atom_site_fract_y
_atom_site_fract_z
Ag1 0.000 0.000 0.000
Os1 0.000 0.000 0.500
Br1 0.000 0.500 0.294
# Relative energy among the computed polymorphs: 293 meV per atom
# Volume: 20.3 Å³/atom
# Energy relative to the elements, uncorrected: 765 meV/atom

***

8.
# AgOsBr2 (PBEsol, optimized geometry)
data_AgOsBr2
_chemical_formula_sum 'Ag2 Os2 Br4'
_symmetry_space_group_name_H-M 'C m m m'
_symmetry_Int_Tables_number 65
_symmetry_space_group_name_Hall '-C 2 2'
_cell_length_a 6.698
_cell_length_b 6.707
_cell_length_c 3.160
_cell_angle_alpha 90.00
_cell_angle_beta 90.00
_cell_angle_gamma 90.00
loop_
_atom_site_label
_atom_site_fract_x
_atom_site_fract_y
_atom_site_fract_z
Ag1 0.000 0.000 0.000
Os1 0.000 0.500 0.000
Br1 0.250 0.250 0.500
# Relative energy among the computed polymorphs: 523 meV per atom
# Volume: 17.7 Å³/atom
# Energy relative to the elements, uncorrected: 995 meV/atom